Record 1
This record from Alexandria describes a geometry-optimized Mg3ZrH structure. The functional is PBEsol.

Values from the calculation:
- energy (eV per atom) = -3.34
- total moment (μB/atom) = 0.19

a b c (Å): 4.448 4.448 4.448
angles (deg): 90.00 90.00 90.00
Element x y z (fractional)
Mg 0.000 0.000 0.500
Mg 0.000 0.500 0.000
Mg 0.500 0.000 0.000
H 0.000 0.000 0.000
Zr 0.500 0.500 0.500

***

Record 2
This record from Alexandria describes a geometry-optimized MnH2N structure. The functional is PBEsol.

Values from the calculation:
- energy (eV per atom) = -5.96
- total moment (μB/atom) = 0.42

a b c (Å): 2.674 2.674 7.405
angles (deg): 100.40 100.40 90.00
Element x y z (fractional)
N 0.500 0.500 0.000
N 0.750 0.250 0.500
Mn 0.000 0.000 0.000
Mn 0.250 0.750 0.500
H 0.125 0.375 0.250
H 0.125 0.875 0.250
H 0.125 0.875 0.750
H 0.625 0.875 0.750

***

Record 3
This record from Alexandria describes a geometry-optimized MnPH6NO5 structure. The functional is PBEsol.

Values from the calculation:
- energy (eV per atom) = -6.28
- total moment (μB/atom) = 0.36

a b c (Å): 4.797 5.686 8.928
angles (deg): 90.00 90.00 90.00
Element x y z (fractional)
O 0.640 0.500 0.871
O 0.247 0.218 0.373
O 0.286 0.500 0.662
O 0.247 0.782 0.373
O 0.701 0.500 0.300
O 0.786 0.000 0.338
O 0.747 0.718 0.627
O 0.201 0.000 0.700
O 0.140 0.000 0.129
O 0.747 0.282 0.627
N 0.139 0.500 0.022
N 0.639 0.000 0.978
Mn 0.531 0.000 0.527
Mn 0.031 0.500 0.473
H 0.576 0.362 0.312
H 0.636 0.151 0.912
H 0.136 0.651 0.088
H 0.958 0.500 0.953
H 0.576 0.638 0.312
H 0.136 0.349 0.088
H 0.076 0.138 0.688
H 0.636 0.849 0.912
H 0.324 0.500 0.957
H 0.458 0.000 0.047
H 0.076 0.862 0.688
H 0.824 0.000 0.043
P 0.097 0.000 0.301
P 0.597 0.500 0.699

***

Record 4
This record from Alexandria describes a geometry-optimized MnP4H16N2O16 structure. The functional is PBEsol.

Values from the calculation:
- energy (eV per atom) = -6.20
- total moment (μB/atom) = 0.13

a b c (Å): 7.067 7.386 7.736
angles (deg): 79.98 71.69 90.21
Element x y z (fractional)
O 0.755 0.302 0.581
O 0.253 0.950 0.149
O 0.757 0.640 0.146
O 0.245 0.698 0.419
O 0.942 0.274 0.228
O 0.427 0.248 0.554
O 0.243 0.360 0.854
O 0.207 0.620 0.119
O 0.775 0.981 0.160
O 0.573 0.752 0.446
O 0.058 0.726 0.772
O 0.933 0.759 0.352
O 0.067 0.241 0.648
O 0.793 0.380 0.881
O 0.225 0.019 0.840
O 0.747 0.050 0.851
H 0.878 0.289 0.359
H 0.449 0.683 0.907
H 0.341 0.171 0.183
H 0.577 0.720 0.674
H 0.677 0.597 0.829
H 0.570 0.272 0.573
H 0.551 0.317 0.093
H 0.430 0.728 0.427
H 0.119 0.842 0.788
H 0.239 0.985 0.007
H 0.423 0.280 0.326
H 0.659 0.829 0.817
H 0.761 0.015 0.993
H 0.122 0.711 0.641
H 0.323 0.403 0.171
H 0.881 0.158 0.212
N 0.590 0.707 0.807
N 0.410 0.293 0.193
P 0.755 0.782 0.264
P 0.245 0.218 0.736
P 0.171 0.753 0.255
P 0.829 0.247 0.745
Mn 0.000 0.500 0.000

***

Record 5
This record from Alexandria describes a geometry-optimized MnH10S2N4O8 structure. The functional is PBEsol.

Values from the calculation:
- energy (eV per atom) = -5.97
- total moment (μB/atom) = 0.20

a b c (Å): 5.434 5.761 7.357
angles (deg): 91.64 104.91 98.77
Element x y z (fractional)
H 0.762 0.450 0.820
H 0.707 0.404 0.579
H 0.293 0.596 0.421
H 0.885 0.074 0.617
H 0.238 0.550 0.180
H 0.903 0.697 0.273
H 0.097 0.303 0.727
H 0.443 0.795 0.297
H 0.557 0.205 0.703
H 0.115 0.926 0.383
Mn 0.000 0.000 0.000
N 0.934 0.188 0.737
N 0.272 0.676 0.291
N 0.728 0.324 0.709
N 0.066 0.812 0.263
O 0.699 0.464 0.353
O 0.665 0.039 0.335
O 0.630 0.769 0.899
O 0.370 0.231 0.101
O 0.301 0.536 0.647
O 0.175 0.730 0.895
O 0.825 0.270 0.105
O 0.335 0.961 0.665
S 0.362 0.752 0.777
S 0.638 0.248 0.223

***

Record 6
This record from Alexandria describes a geometry-optimized MnHSe2N structure. The functional is PBEsol.

Values from the calculation:
- energy (eV per atom) = -5.22
- total moment (μB/atom) = 0.01

a b c (Å): 3.367 4.714 4.714
angles (deg): 90.00 90.00 90.00
Element x y z (fractional)
N 0.500 0.000 0.000
H 0.500 0.500 0.500
Se 0.000 0.000 0.500
Se 0.000 0.500 0.000
Mn 0.000 0.000 0.000

***

Record 7
This record from Alexandria describes a geometry-optimized Na3MnH structure. The functional is PBEsol.

Values from the calculation:
- energy (eV per atom) = -2.90
- total moment (μB/atom) = 0.89

a b c (Å): 4.776 4.776 4.776
angles (deg): 90.00 90.00 90.00
Element x y z (fractional)
Na 0.000 0.500 0.000
Na 0.500 0.000 0.000
Na 0.000 0.000 0.500
Mn 0.500 0.500 0.500
H 0.000 0.000 0.000

***

Record 8
This record from Alexandria describes a geometry-optimized NaMnH3 structure. The functional is PBEsol.

Values from the calculation:
- energy (eV per atom) = -4.28
- total moment (μB/atom) = 0.59

a b c (Å): 4.687 4.687 5.544
angles (deg): 64.99 64.99 60.00
Element x y z (fractional)
Mn 0.666 0.666 0.003
Mn 0.334 0.334 0.997
H 0.424 0.930 0.223
H 0.576 0.070 0.777
H 0.576 0.576 0.777
H 0.424 0.424 0.223
H 0.070 0.576 0.777
H 0.930 0.424 0.223
Na 0.112 0.112 0.665
Na 0.888 0.888 0.335

***

Record 9
This record from Alexandria describes a geometry-optimized Mn2NiH structure. The functional is PBEsol.

Values from the calculation:
- energy (eV per atom) = -6.67
- total moment (μB/atom) = 1.78

a b c (Å): 3.891 3.891 3.891
angles (deg): 60.00 60.00 60.00
Element x y z (fractional)
Ni 0.500 0.500 0.500
Mn 0.250 0.250 0.250
Mn 0.750 0.750 0.750
H 0.000 0.000 0.000

***

Record 10
This record from Alexandria describes a geometry-optimized Mn3NiH structure. The functional is PBEsol.

Values from the calculation:
- energy (eV per atom) = -7.71
- total moment (μB/atom) = 0.00

a b c (Å): 3.510 3.510 3.510
angles (deg): 90.00 90.00 90.00
Element x y z (fractional)
Ni 0.500 0.500 0.500
Mn 0.500 0.000 0.000
Mn 0.000 0.500 0.000
Mn 0.000 0.000 0.500
H 0.000 0.000 0.000

***

Record 11
This record from Alexandria describes a geometry-optimized MnNi3H structure. The functional is PBEsol.

Values from the calculation:
- energy (eV per atom) = -6.40
- total moment (μB/atom) = 0.88

a b c (Å): 3.570 3.570 3.570
angles (deg): 90.00 90.00 90.00
Element x y z (fractional)
H 0.000 0.000 0.000
Mn 0.500 0.500 0.500
Ni 0.000 0.500 0.000
Ni 0.000 0.000 0.500
Ni 0.500 0.000 0.000

***

Record 12
This record from Alexandria describes a geometry-optimized Mn2NiHPt structure. The functional is PBEsol.

Values from the calculation:
- energy (eV per atom) = -7.27
- total moment (μB/atom) = 1.50

a b c (Å): 3.551 3.865 3.865
angles (deg): 90.00 90.00 90.00
Element x y z (fractional)
Mn 0.000 0.000 0.500
Mn 0.000 0.500 0.000
Pt 0.500 0.500 0.500
H 0.000 0.000 0.000
Ni 0.500 0.000 0.000

***

Record 13
This record from Alexandria describes a geometry-optimized Mn12HO24 structure. The functional is PBEsol.

Values from the calculation:
- energy (eV per atom) = -8.27
- total moment (μB/atom) = 0.94

a b c (Å): 5.666 8.842 13.756
angles (deg): 91.52 90.00 90.00
Element x y z (fractional)
O 0.625 0.365 0.225
O 0.375 0.139 0.607
O 0.125 0.644 0.105
O 0.624 0.856 0.895
O 0.872 0.640 0.274
O 0.625 0.146 0.105
O 0.877 0.857 0.394
O 0.378 0.144 0.274
O 0.126 0.856 0.895
O 0.127 0.644 0.774
O 0.378 0.640 0.275
O 0.128 0.140 0.774
O 0.875 0.144 0.605
O 0.123 0.896 0.558
O 0.875 0.640 0.606
O 0.625 0.858 0.224
O 0.873 0.144 0.274
O 0.375 0.646 0.605
O 0.877 0.396 0.058
O 0.373 0.396 0.058
O 0.875 0.896 0.058
O 0.376 0.605 0.942
O 0.375 0.865 0.725
O 0.125 0.358 0.224
O 0.125 0.140 0.106
O 0.123 0.357 0.894
O 0.125 0.396 0.558
O 0.875 0.357 0.725
O 0.374 0.104 0.941
O 0.625 0.396 0.558
O 0.373 0.856 0.394
O 0.625 0.639 0.107
O 0.874 0.356 0.395
O 0.876 0.103 0.942
O 0.875 0.858 0.724
O 0.124 0.603 0.442
O 0.627 0.896 0.558
O 0.125 0.857 0.225
O 0.624 0.105 0.442
O 0.376 0.356 0.395
O 0.622 0.140 0.775
O 0.626 0.604 0.441
O 0.375 0.896 0.058
O 0.622 0.644 0.774
O 0.874 0.604 0.941
O 0.126 0.104 0.441
O 0.375 0.358 0.724
O 0.627 0.356 0.894
Mn 0.126 0.243 0.340
Mn 0.375 0.757 0.159
Mn 0.375 0.500 0.500
Mn 0.373 0.999 0.499
Mn 0.627 0.499 0.999
Mn 0.881 0.254 0.157
Mn 0.625 0.257 0.659
Mn 0.624 0.241 0.345
Mn 0.125 0.257 0.659
Mn 0.631 0.755 0.657
Mn 0.875 0.757 0.159
Mn 0.375 0.246 0.841
Mn 0.369 0.255 0.157
Mn 0.874 0.743 0.840
Mn 0.877 0.000 0.499
Mn 0.875 0.242 0.840
Mn 0.625 0.000 0.000
Mn 0.376 0.741 0.845
Mn 0.123 0.500 0.999
Mn 0.119 0.754 0.657
Mn 0.625 0.746 0.341
Mn 0.875 0.498 0.499
Mn 0.125 0.742 0.340
Mn 0.125 0.998 0.999
H 0.374 0.978 0.729
H 0.626 0.478 0.229

***

Record 14
This record from Alexandria describes a geometry-optimized MnH2O2 structure. The functional is PBEsol.

Values from the calculation:
- energy (eV per atom) = -6.43
- total moment (μB/atom) = 1.00

a b c (Å): 3.297 3.297 4.543
angles (deg): 90.07 90.00 120.00
Element x y z (fractional)
H 0.333 0.666 0.549
H 0.667 0.334 0.451
O 0.667 0.334 0.234
O 0.333 0.666 0.766
Mn 0.000 0.000 0.000

***

Record 15
This record from Alexandria describes a geometry-optimized Mn6HO12 structure. The functional is PBEsol.

Values from the calculation:
- energy (eV per atom) = -8.16
- total moment (μB/atom) = 0.89

a b c (Å): 5.364 5.364 13.465
angles (deg): 86.82 86.82 63.61
Element x y z (fractional)
Mn 0.747 0.001 0.000
Mn 0.255 0.501 0.997
Mn 0.001 0.747 0.500
Mn 0.479 0.741 0.655
Mn 0.501 0.255 0.497
Mn 0.228 0.991 0.155
Mn 0.262 0.014 0.840
Mn 0.991 0.228 0.655
Mn 0.521 0.772 0.344
Mn 0.741 0.479 0.155
Mn 0.772 0.521 0.844
Mn 0.014 0.262 0.340
O 0.337 0.086 0.592
O 0.081 0.833 0.068
O 0.356 0.111 0.265
O 0.169 0.418 0.428
O 0.605 0.861 0.764
O 0.832 0.582 0.592
O 0.171 0.914 0.406
O 0.582 0.832 0.092
O 0.331 0.582 0.569
O 0.671 0.922 0.427
O 0.418 0.169 0.928
O 0.386 0.637 0.233
O 0.922 0.671 0.927
O 0.421 0.665 0.906
O 0.086 0.337 0.092
O 0.111 0.356 0.765
O 0.140 0.891 0.731
O 0.914 0.171 0.906
O 0.833 0.081 0.568
O 0.665 0.421 0.406
O 0.637 0.386 0.733
O 0.891 0.140 0.231
O 0.582 0.331 0.069
O 0.861 0.605 0.264
H 0.529 0.277 0.747
H 0.277 0.529 0.247